Here is a geometry-optimized RbNi2N structure from Alexandria via LeMat-Bulk. Energies are from PBE.

The structure in CIF format:
```
data_RbNi2N
_chemical_formula_sum 'Rb4 Ni8 N4'
_cell_length_a 5.885
_cell_length_b 5.885
_cell_length_c 8.405
_cell_angle_alpha 90.00
_cell_angle_beta 90.00
_cell_angle_gamma 90.00
_symmetry_space_group_name_H-M 'I 41/a m d'
_symmetry_Int_Tables_number 141
loop_
_symmetry_equiv_pos_as_xyz
'x,y,z'
'-x,-y,-z'
'-y+1/4,x+3/4,z+1/4'
'y+1/4,-x+3/4,-z+1/4'
'-x+1/2,-y,z+1/2'
'x+1/2,y,-z+1/2'
'y+1/4,-x+1/4,z+3/4'
'-y+1/4,x+1/4,-z+3/4'
'x,-y,-z'
'-x,y,z'
'-y+1/4,-x+1/4,-z+3/4'
'y+1/4,x+1/4,z+3/4'
'-x+1/2,y,-z+1/2'
'x+1/2,-y,z+1/2'
'y+1/4,x+3/4,-z+1/4'
'-y+1/4,-x+3/4,z+1/4'
'x+1/2,y+1/2,z+1/2'
'-x+1/2,-y+1/2,-z+1/2'
'-y+3/4,x+1/4,z+3/4'
'y+3/4,-x+1/4,-z+3/4'
'-x,-y+1/2,z'
'x,y+1/2,-z'
'y+3/4,-x+3/4,z+1/4'
'-y+3/4,x+3/4,-z+1/4'
'x+1/2,-y+1/2,-z+1/2'
'-x+1/2,y+1/2,z+1/2'
'-y+3/4,-x+3/4,-z+1/4'
'y+3/4,x+3/4,z+1/4'
'-x,y+1/2,-z'
'x,-y+1/2,z'
'y+3/4,x+1/4,-z+3/4'
'-y+3/4,-x+1/4,z+3/4'
loop_
_atom_site_label
_atom_site_type_symbol
_atom_site_fract_x
_atom_site_fract_y
_atom_site_fract_z
Rb1 Rb 0.000 0.250 0.375
Ni1 Ni 0.000 0.000 0.000
N1 N 0.000 0.250 0.875
```

Raw formation energy (eV per formula unit): 0.411
Magnetic moment (μB per cell): 0.000


Here is a geometry-optimized RbNi3N structure from Alexandria via LeMat-Bulk. Energies are from PBE.

The structure in CIF format:
```
data_RbNi3N
_chemical_formula_sum 'Rb1 Ni3 N1'
_cell_length_a 4.644
_cell_length_b 4.644
_cell_length_c 4.644
_cell_angle_alpha 90.00
_cell_angle_beta 90.00
_cell_angle_gamma 90.00
_symmetry_space_group_name_H-M 'P m -3 m'
_symmetry_Int_Tables_number 221
_symmetry_space_group_name_Hall '-P 4 2 3'
loop_
_atom_site_label
_atom_site_type_symbol
_atom_site_fract_x
_atom_site_fract_y
_atom_site_fract_z
Rb1 Rb 0.000 0.000 0.000
Ni1 Ni 0.000 0.000 0.500
N1 N 0.500 0.500 0.500
```

Raw formation energy (eV per formula unit): 15.865
Magnetic moment (μB per cell): 2.515


Here is a geometry-optimized RbNiN structure from Alexandria via LeMat-Bulk. Energies are from PBE.

The structure in CIF format:
```
data_RbNiN
_chemical_formula_sum 'Rb4 Ni4 N4'
_cell_length_a 11.007
_cell_length_b 3.482
_cell_length_c 6.260
_cell_angle_alpha 90.00
_cell_angle_beta 90.00
_cell_angle_gamma 90.00
_symmetry_space_group_name_H-M 'P n m a'
_symmetry_Int_Tables_number 62
_symmetry_space_group_name_Hall '-P 2ac 2n'
loop_
_atom_site_label
_atom_site_type_symbol
_atom_site_fract_x
_atom_site_fract_y
_atom_site_fract_z
Rb1 Rb 0.158 0.250 0.071
Ni1 Ni 0.052 0.250 0.583
N1 N 0.072 0.750 0.656
```

Raw formation energy (eV per formula unit): 0.244
Magnetic moment (μB per cell): 0.000